Entry i
4
Lattice="1.665 0.961 9.922 -1.665 0.961 9.922 0.000 -1.922 9.922" Properties=species:S:1:pos:R:3 comment="LaSc2Os PBE-GGA relaxed" crystal_system=trigonal vol_a3_per_cell=95.2 pbc="T T T"
La 0.000 0.000 0.000
Sc 0.000 0.000 6.839
Sc 0.000 0.000 22.928
Os 0.000 0.000 14.884

Entry ii
4
Lattice="-1.709 2.617 5.383 1.709 -2.617 5.383 1.709 2.617 -5.383" Properties=species:S:1:pos:R:3 comment="LaSc2Os PBE-GGA relaxed" crystal_system=orthorhombic vol_a3_per_cell=96.3 pbc="T T T"
La 0.000 0.000 0.000
Sc 1.709 0.000 3.272
Sc 0.000 2.617 2.111
Os 0.000 0.000 5.383

Entry iii
4
Lattice="4.260 0.000 0.000 0.000 4.260 0.000 0.000 0.000 4.881" Properties=species:S:1:pos:R:3 comment="LaSc2Os PBE-GGA relaxed" crystal_system=tetragonal vol_a3_per_cell=88.6 pbc="T T T"
La 0.000 0.000 0.000
Sc 0.000 2.130 2.440
Sc 2.130 0.000 2.440
Os 2.130 2.130 0.000

Entry iv
4
Lattice="-1.726 2.488 5.431 1.726 -2.488 5.431 1.726 2.488 -5.431" Properties=species:S:1:pos:R:3 comment="LaSc2Os PBE-GGA relaxed" crystal_system=orthorhombic vol_a3_per_cell=93.3 pbc="T T T"
La 0.000 0.000 0.000
Sc 0.000 0.000 4.314
Sc 0.000 2.488 2.255
Os 1.726 0.000 2.332

Energy comparison, zero being the most stable, in meV per atom: entry i 175; entry ii 0; entry iii 211; entry iv 36.

Entry i
10
Lattice="7.885 0.000 0.000 0.000 7.885 0.000 0.000 0.000 3.254" Properties=species:S:1:pos:R:3 comment="LaSc2Os2 PBE-GGA relaxed" crystal_system=tetragonal vol_a3_per_cell=202.3 pbc="T T T"
La 0.000 0.000 0.000
La 3.943 3.943 0.000
Sc 1.083 2.860 1.627
Sc 2.860 6.803 1.627
Sc 5.025 1.083 1.627
Sc 6.803 5.025 1.627
Os 1.225 5.168 0.000
Os 2.718 1.225 0.000
Os 5.168 6.660 0.000
Os 6.660 2.718 0.000

Entry ii
5
Lattice="-2.365 2.365 5.068 2.365 -2.365 5.068 2.365 2.365 -5.068" Properties=species:S:1:pos:R:3 comment="LaSc2Os2 PBE-GGA relaxed" crystal_system=tetragonal vol_a3_per_cell=113.3 pbc="T T T"
La 0.000 0.000 0.000
Sc 0.000 0.000 3.578
Sc 0.000 0.000 6.558
Os 2.365 0.000 2.534
Os 0.000 2.365 2.534

Energy comparison, zero being the most stable, in meV per atom: entry i 0; entry ii 300.

Entry i
3
Lattice="0.000 3.450 3.450 3.450 0.000 3.450 3.450 3.450 0.000" Properties=species:S:1:pos:R:3 comment="LaOsSe PBE-GGA relaxed" crystal_system=cubic vol_a3_per_cell=82.1 pbc="T T T"
La 0.000 0.000 0.000
Os 5.175 5.175 5.175
Se 1.725 1.725 1.725

Entry ii
3
Lattice="-1.687 1.687 5.575 1.687 -1.687 5.575 1.687 1.687 -5.575" Properties=species:S:1:pos:R:3 comment="LaOsSe PBE-GGA relaxed" crystal_system=tetragonal vol_a3_per_cell=63.5 pbc="T T T"
La 0.000 0.000 0.000
Os 0.000 0.000 3.482
Se 0.000 0.000 7.950

Entry iii
3
Lattice="0.000 3.277 3.277 3.277 0.000 3.277 3.277 3.277 0.000" Properties=species:S:1:pos:R:3 comment="LaOsSe PBE-GGA relaxed" crystal_system=cubic vol_a3_per_cell=70.4 pbc="T T T"
La 0.000 0.000 0.000
Os 4.915 4.915 4.915
Se 3.277 3.277 3.277

Energy comparison, zero being the most stable, in meV per atom: entry i 701; entry ii 76; entry iii 0.

Entry i
10
Lattice="6.036 -4.386 0.000 6.036 4.386 0.000 -5.746 0.000 6.112" Properties=species:S:1:pos:R:3 comment="LaSm3Os PBE-GGA relaxed" crystal_system=monoclinic vol_a3_per_cell=323.6 pbc="T T T"
La -1.345 0.000 2.077
La 7.672 0.000 4.035
Sm 1.877 1.744 1.260
Sm 1.095 0.000 4.570
Sm 1.877 -1.744 1.260
Sm 4.450 1.744 4.852
Sm 5.232 0.000 1.542
Sm 4.450 -1.744 4.852
Os -2.099 0.000 5.415
Os 8.426 0.000 0.697

Entry ii
5
Lattice="5.572 0.000 0.000 0.000 5.572 0.000 0.000 0.000 5.572" Properties=species:S:1:pos:R:3 comment="LaSm3Os PBE-GGA relaxed" crystal_system=cubic vol_a3_per_cell=173.0 pbc="T T T"
La 0.000 0.000 0.000
Sm 0.000 2.786 2.786
Sm 2.786 0.000 2.786
Sm 2.786 2.786 0.000
Os 2.786 2.786 2.786

Energy comparison, zero being the most stable, in meV per atom: entry i 0; entry ii 180.

Entry i
8
Lattice="2.054 -6.192 0.000 2.054 6.192 0.000 0.000 0.000 9.490" Properties=species:S:1:pos:R:3 comment="La2SmOs PBE-GGA relaxed" crystal_system=orthorhombic vol_a3_per_cell=241.4 pbc="T T T"
La 2.054 4.418 5.416
La 2.054 4.418 8.819
La 2.054 -4.418 0.671
La 2.054 -4.418 4.074
Sm 2.054 1.013 7.117
Sm 2.054 -1.013 2.372
Os 2.054 3.162 2.372
Os 2.054 -3.162 7.117

Entry ii
4
Lattice="2.790 1.611 3.973 -2.790 1.611 3.973 0.000 -3.222 3.973" Properties=species:S:1:pos:R:3 comment="La2SmOs PBE-GGA relaxed" crystal_system=trigonal vol_a3_per_cell=107.1 pbc="T T T"
La 0.000 0.000 2.807
La 0.000 0.000 9.112
Sm 0.000 0.000 5.960
Os 0.000 0.000 0.000

Entry iii
16
Lattice="7.482 0.000 0.000 0.000 9.866 0.000 0.000 0.000 6.508" Properties=species:S:1:pos:R:3 comment="La2SmOs PBE-GGA relaxed" crystal_system=orthorhombic vol_a3_per_cell=480.3 pbc="T T T"
La 1.302 0.668 1.119
La 1.302 4.265 1.119
La 2.439 5.600 4.372
La 2.439 9.198 4.372
La 5.043 0.668 2.135
La 5.043 4.265 2.135
La 6.180 5.600 5.389
La 6.180 9.198 5.389
Sm 0.325 2.466 4.212
Sm 3.415 7.399 0.958
Sm 4.066 2.466 5.549
Sm 7.156 7.399 2.296
Os 0.848 7.399 6.139
Os 2.893 2.466 2.885
Os 4.588 7.399 3.622
Os 6.634 2.466 0.369

Energy comparison, zero being the most stable, in meV per atom: entry i 29; entry ii 419; entry iii 0.

Entry i
10
Lattice="6.136 -2.333 0.000 6.136 2.333 0.000 -1.626 0.000 10.572" Properties=species:S:1:pos:R:3 comment="La3SnOs PBE-GGA relaxed" crystal_system=monoclinic vol_a3_per_cell=302.6 pbc="T T T"
La 0.636 0.000 4.143
La 2.835 0.000 9.358
La 4.097 0.000 3.430
La 6.550 0.000 7.142
La 7.811 0.000 1.215
La 10.011 0.000 6.429
Sn -0.612 0.000 9.449
Sn 11.258 0.000 1.123
Os 2.235 0.000 6.511
Os 8.412 0.000 4.061

Entry ii
5
Lattice="5.523 0.000 0.000 0.000 5.523 0.000 0.000 0.000 5.523" Properties=species:S:1:pos:R:3 comment="La3SnOs PBE-GGA relaxed" crystal_system=cubic vol_a3_per_cell=168.5 pbc="T T T"
La 0.000 0.000 2.762
La 0.000 2.762 0.000
La 2.762 0.000 0.000
Sn 2.762 2.762 2.762
Os 0.000 0.000 0.000

Entry iii
10
Lattice="6.042 0.000 0.000 -2.459 6.041 0.000 -1.128 -2.908 8.158" Properties=species:S:1:pos:R:3 comment="La3SnOs PBE-GGA relaxed" crystal_system=triclinic vol_a3_per_cell=297.8 pbc="T T T"
La -0.114 0.617 1.938
La -0.009 0.108 5.503
La -0.274 4.471 0.876
La 2.729 -1.338 7.282
La 2.464 3.025 2.655
La 2.569 2.516 6.220
Sn -0.616 3.240 4.248
Sn 3.071 -0.107 3.911
Os -0.208 -0.953 8.007
Os 2.663 4.086 0.151

Energy comparison, zero being the most stable, in meV per atom: entry i 0; entry ii 55; entry iii 6.

Entry i
4
Lattice="3.500 0.000 0.000 0.000 4.720 0.000 0.000 0.000 5.137" Properties=species:S:1:pos:R:3 comment="SrLaOs2 PBE-GGA relaxed" crystal_system=orthorhombic vol_a3_per_cell=84.9 pbc="T T T"
Sr 0.000 0.000 0.000
La 1.750 0.000 2.569
Os 0.000 2.360 2.569
Os 1.750 2.360 0.000

Entry ii
4
Lattice="1.678 0.969 9.256 -1.678 0.969 9.256 0.000 -1.938 9.256" Properties=species:S:1:pos:R:3 comment="SrLaOs2 PBE-GGA relaxed" crystal_system=trigonal vol_a3_per_cell=90.3 pbc="T T T"
Sr 0.000 0.000 0.000
La 0.000 0.000 13.885
Os 0.000 0.000 6.832
Os 0.000 0.000 20.937

Entry iii
4
Lattice="1.736 -2.600 0.000 1.736 2.600 0.000 0.000 0.000 9.469" Properties=species:S:1:pos:R:3 comment="SrLaOs2 PBE-GGA relaxed" crystal_system=orthorhombic vol_a3_per_cell=85.5 pbc="T T T"
Sr 0.000 0.000 0.000
La 0.000 0.000 4.734
Os 1.736 0.000 2.471
Os 1.736 0.000 6.998

Energy comparison, zero being the most stable, in meV per atom: entry i 59; entry ii 110; entry iii 0.

Entry i
4
Lattice="0.000 3.565 3.565 3.565 0.000 3.565 3.565 3.565 0.000" Properties=species:S:1:pos:R:3 comment="SrLaOs2 PBE-GGA relaxed" crystal_system=cubic vol_a3_per_cell=90.6 pbc="T T T"
Sr 0.000 0.000 0.000
La 3.565 3.565 3.565
Os 1.782 1.782 1.782
Os 5.347 5.347 5.347

Entry ii
4
Lattice="4.645 0.000 0.000 0.000 4.645 0.000 0.000 0.000 4.146" Properties=species:S:1:pos:R:3 comment="SrLaOs2 PBE-GGA relaxed" crystal_system=tetragonal vol_a3_per_cell=89.4 pbc="T T T"
Sr 0.000 0.000 0.000
La 2.322 2.322 0.000
Os 0.000 2.322 2.073
Os 2.322 0.000 2.073

Entry iii
4
Lattice="3.047 0.000 0.000 0.000 3.881 0.000 -1.410 0.000 8.772" Properties=species:S:1:pos:R:3 comment="SrLaOs2 PBE-GGA relaxed" crystal_system=monoclinic vol_a3_per_cell=103.7 pbc="T T T"
Sr 0.000 0.000 0.000
La 1.693 1.940 5.181
Os -0.134 0.000 3.142
Os 1.351 1.940 2.311

Entry iv
4
Lattice="-2.137 2.137 4.838 2.137 -2.137 4.838 2.137 2.137 -4.838" Properties=species:S:1:pos:R:3 comment="SrLaOs2 PBE-GGA relaxed" crystal_system=tetragonal vol_a3_per_cell=88.4 pbc="T T T"
Sr 0.000 0.000 0.000
La 2.137 0.000 2.419
Os 0.000 0.000 4.838
Os 0.000 2.137 2.419

Energy comparison, zero being the most stable, in meV per atom: entry i 408; entry ii 435; entry iii 0; entry iv 531.